# 1
Density functional theory data (meta-GGA SCAN) for a PBEsol-optimized structure of CuGeP2. Values from VASP.

Values from the calculation:
The value obtained for the formation enthalpy at 0 K is -0.06 eV per atom. As for the spin magnetization: 0.00 μB per cell. The value obtained for the density of states at the Fermi level is 4.086 states/eV per cell.

Cell and atoms, written as Quantum ESPRESSO input:
```
&SYSTEM
  ibrav = 0, nat = 8, ntyp = 3
/
ATOMIC_SPECIES
Cu 63.55 Cu.upf
Ge 72.64 Ge.upf
P 30.97 P.upf
CELL_PARAMETERS angstrom
-2.649 2.649 5.225
2.649 -2.649 5.225
2.649 2.649 -5.225
ATOMIC_POSITIONS crystal
Cu 0.000 0.000 0.000
Cu 0.750 0.250 0.500
Ge 0.250 0.750 0.500
Ge 0.500 0.500 0.000
P 0.108 0.625 0.983
P 0.375 0.358 0.483
P 0.642 0.125 0.017
P 0.875 0.892 0.517
```



# 2
Density functional theory data (meta-GGA SCAN) for a PBEsol-optimized structure of CuGePS2. Values from VASP.

Values from the calculation:
As for the spin magnetization: 0.01 μB per cell. For the formation energy without anion corrections, the calculation gives 0.99 eV per atom. The value obtained for the density of states at the Fermi level is 4.186 states/eV per cell.

Cell and atoms, written as Quantum ESPRESSO input:
```
&SYSTEM
  ibrav = 0, nat = 5, ntyp = 4
/
ATOMIC_SPECIES
Cu 63.55 Cu.upf
Ge 72.64 Ge.upf
P 30.97 P.upf
S 32.06 S.upf
CELL_PARAMETERS angstrom
4.600 0.000 0.000
0.000 4.600 0.000
0.000 0.000 4.636
ATOMIC_POSITIONS crystal
Cu 0.000 0.000 0.000
Ge 0.500 0.500 0.500
P 0.500 0.500 0.000
S 0.000 0.500 0.500
S 0.500 0.000 0.500
```



# 3
Density functional theory data (meta-GGA SCAN) for a PBEsol-optimized structure of CuGe2Pd. Values from VASP.

Values from the calculation:
The value obtained for the formation enthalpy at 0 K is 0.00 eV per atom. As for the spin magnetization: 0.00 μB per cell. The value obtained for the density of states at the Fermi level is 1.911 states/eV per cell.

Cell and atoms, written as Quantum ESPRESSO input:
```
&SYSTEM
  ibrav = 0, nat = 4, ntyp = 3
/
ATOMIC_SPECIES
Cu 63.55 Cu.upf
Ge 72.64 Ge.upf
Pd 106.42 Pd.upf
CELL_PARAMETERS angstrom
0.000 3.098 3.098
3.098 0.000 3.098
3.098 3.098 0.000
ATOMIC_POSITIONS crystal
Cu 0.000 0.000 0.000
Ge 0.250 0.250 0.250
Ge 0.750 0.750 0.750
Pd 0.500 0.500 0.500
```



# 4
Density functional theory data (meta-GGA SCAN) for a PBEsol-optimized structure of CuGe3Pd. Values from VASP.

Values from the calculation:
The value obtained for the formation enthalpy at 0 K is 0.67 eV per atom. As for the spin magnetization: 0.00 μB per cell. The value obtained for the density of states at the Fermi level is 3.035 states/eV per cell.

Cell and atoms, written as Quantum ESPRESSO input:
```
&SYSTEM
  ibrav = 0, nat = 5, ntyp = 3
/
ATOMIC_SPECIES
Cu 63.55 Cu.upf
Ge 72.64 Ge.upf
Pd 106.42 Pd.upf
CELL_PARAMETERS angstrom
4.751 0.000 0.000
0.000 4.751 0.000
0.000 0.000 4.751
ATOMIC_POSITIONS crystal
Cu 0.000 0.000 0.000
Ge 0.000 0.500 0.500
Ge 0.500 0.000 0.500
Ge 0.500 0.500 0.000
Pd 0.500 0.500 0.500
```



Repeat the first record exactly.
Density functional theory data (meta-GGA SCAN) for a PBEsol-optimized structure of CuGeP2. Values from VASP.

Values from the calculation:
The value obtained for the formation enthalpy at 0 K is -0.06 eV per atom. As for the spin magnetization: 0.00 μB per cell. The value obtained for the density of states at the Fermi level is 4.086 states/eV per cell.

Cell and atoms, written as Quantum ESPRESSO input:
```
&SYSTEM
  ibrav = 0, nat = 8, ntyp = 3
/
ATOMIC_SPECIES
Cu 63.55 Cu.upf
Ge 72.64 Ge.upf
P 30.97 P.upf
CELL_PARAMETERS angstrom
-2.649 2.649 5.225
2.649 -2.649 5.225
2.649 2.649 -5.225
ATOMIC_POSITIONS crystal
Cu 0.000 0.000 0.000
Cu 0.750 0.250 0.500
Ge 0.250 0.750 0.500
Ge 0.500 0.500 0.000
P 0.108 0.625 0.983
P 0.375 0.358 0.483
P 0.642 0.125 0.017
P 0.875 0.892 0.517
```



Copy entry 2 word for word.
Density functional theory data (meta-GGA SCAN) for a PBEsol-optimized structure of CuGePS2. Values from VASP.

Values from the calculation:
As for the spin magnetization: 0.01 μB per cell. For the formation energy without anion corrections, the calculation gives 0.99 eV per atom. The value obtained for the density of states at the Fermi level is 4.186 states/eV per cell.

Cell and atoms, written as Quantum ESPRESSO input:
```
&SYSTEM
  ibrav = 0, nat = 5, ntyp = 4
/
ATOMIC_SPECIES
Cu 63.55 Cu.upf
Ge 72.64 Ge.upf
P 30.97 P.upf
S 32.06 S.upf
CELL_PARAMETERS angstrom
4.600 0.000 0.000
0.000 4.600 0.000
0.000 0.000 4.636
ATOMIC_POSITIONS crystal
Cu 0.000 0.000 0.000
Ge 0.500 0.500 0.500
P 0.500 0.500 0.000
S 0.000 0.500 0.500
S 0.500 0.000 0.500
```



> Which formula does entry 1 have?

CuGeP2